Entry from Alexandria via LeMat-Bulk: crystalline SrTcRu at its relaxed geometry (PBE-GGA).

Cell: 4.1074 4.1074 5.0800 Å, 90.00 90.00 120.00°
Atoms (fractional coordinates):
Sr 0.6667 0.3333 0.3328
Tc 0.3333 0.6667 0.8277
Ru 0.0000 0.0000 0.8395

Properties
**Total moment**: 0.000 μB/f.u.
**Energy above the most stable polymorph in this dataset**: 0.000 eV/atom
**Total DFT energy (no corrections)**: -20.1 eV for the cell shown
**Formation energy**: 0.41 eV/atom
**Space group**: No. 156

Entry from Alexandria via LeMat-Bulk: crystalline SrTc4Ru at its relaxed geometry (PBE-GGA).

Cell: 5.2791 5.2791 5.2791 Å, 60.00 60.00 60.00°
Atoms (fractional coordinates):
Sr 0.0000 0.0000 0.0000
Tc 0.8743 0.3752 0.3752
Ru 0.7500 0.7500 0.7500
Tc 0.3752 0.3752 0.3752
Tc 0.3752 0.3752 0.8743
Tc 0.3752 0.8743 0.3752

Properties
**Total moment**: 0.000 μB/f.u.
**Total DFT energy (no corrections)**: -48.6 eV for the cell shown
**Formation energy**: 0.64 eV/atom
**Space group**: No. 216

Entry from Alexandria via LeMat-Bulk: crystalline Sr4TcRu at its relaxed geometry (PBE-GGA).

Cell: 6.4599 6.4599 6.4599 Å, 60.00 60.00 60.00°
Site moments in Bohr magnetons follow the coordinates.
Atoms (fractional coordinates):
Ru 0.0000 0.0000 0.0000  1.35
Tc 0.7500 0.7500 0.7500  2.58
Sr 0.3748 0.8757 0.3748  -0.10
Sr 0.8757 0.3748 0.3748  -0.10
Sr 0.3748 0.3748 0.8757  -0.10
Sr 0.3748 0.3748 0.3748  -0.10

Properties
**Total moment**: 3.190 μB/f.u.
**Total DFT energy (no corrections)**: -17.0 eV for the cell shown
**Formation energy**: 1.57 eV/atom
**Space group**: No. 216

Entry from Alexandria via LeMat-Bulk: crystalline SrTc2Ru at its relaxed geometry (PBE-GGA).

Cell: 5.5775 5.5775 5.5775 Å, 147.81 125.38 64.83°
Atoms (fractional coordinates):
Sr 0.7510 0.2510 0.5000
Ru 0.4649 0.4649 0.0000
Tc 0.0407 0.0407 0.0000
Tc 0.2434 0.7434 0.5000

Properties
**Total moment**: 0.000 μB/f.u.
**Energy above the most stable polymorph in this dataset**: 0.221 eV/atom
**Total DFT energy (no corrections)**: -28.7 eV for the cell shown
**Formation energy**: 0.76 eV/atom
**Space group**: No. 44

Entry from Alexandria via LeMat-Bulk: crystalline SrTc2Ru at its relaxed geometry (PBE-GGA).

Cell: 5.0881 5.0881 5.6056 Å, 76.41 76.41 35.95°
Atoms (fractional coordinates):
Tc 0.4657 0.4657 0.6108
Sr 0.2500 0.2500 0.2500
Tc 0.0343 0.0343 0.8892
Ru 0.7500 0.7500 0.7500

Properties
**Total moment**: 0.000 μB/f.u.
**Energy above the most stable polymorph in this dataset**: 0.077 eV/atom
**Total DFT energy (no corrections)**: -29.2 eV for the cell shown
**Formation energy**: 0.61 eV/atom
**Space group**: No. 12

Entry from Alexandria via LeMat-Bulk: crystalline SrTc2Ru at its relaxed geometry (PBE-GGA).

Cell: 4.9290 3.8308 3.8308 Å, 90.00 90.00 90.00°
Site moments in Bohr magnetons follow the coordinates.
Atoms (fractional coordinates):
Sr 0.5000 0.0000 0.5000  0.01
Ru 0.5000 0.5000 0.0000  0.48
Tc 0.0000 0.0000 0.0000  0.12
Tc 0.0000 0.5000 0.5000  0.12

Properties
**Total moment**: 0.761 μB/f.u.
**Energy above the most stable polymorph in this dataset**: 0.590 eV/atom
**Total DFT energy (no corrections)**: -27.2 eV for the cell shown
**Formation energy**: 1.13 eV/atom
**Space group**: No. 123

Entry from Alexandria via LeMat-Bulk: crystalline SrTc2Ru at its relaxed geometry (PBE-GGA).

Cell: 3.6764 2.8639 7.9230 Å, 68.86 90.00 90.00°
Atoms (fractional coordinates):
Sr 0.5000 0.7500 0.7500
Ru 0.5000 0.2500 0.2500
Tc 0.0000 0.9209 0.0795
Tc 0.0000 0.5791 0.4205

Properties
**Total moment**: 0.001 μB/f.u.
**Energy above the most stable polymorph in this dataset**: 0.093 eV/atom
**Total DFT energy (no corrections)**: -29.2 eV for the cell shown
**Formation energy**: 0.63 eV/atom
**Space group**: No. 47

Entry from Alexandria via LeMat-Bulk: crystalline SrTcRu at its relaxed geometry (PBE-GGA).

Cell: 4.6417 4.6417 4.6417 Å, 60.00 60.00 60.00°
Site moments in Bohr magnetons follow the coordinates.
Atoms (fractional coordinates):
Sr 0.7500 0.7500 0.7500  0.04
Ru 0.5000 0.5000 0.5000  0.84
Tc 0.0000 0.0000 0.0000  2.29

Properties
**Total moment**: 3.476 μB/f.u.
**Energy above the most stable polymorph in this dataset**: 1.719 eV/atom
**Total DFT energy (no corrections)**: -14.9 eV for the cell shown
**Formation energy**: 2.13 eV/atom
**Space group**: No. 216